Entry from Alexandria: Li2IrPdPb after structural relaxation (PBE).

It has space group P4/mmm (No. 123), with a = 4.3399 Å, b = 4.3399 Å, c = 5.1848 Å, α = 90.00°, β = 90.00° and γ = 90.00°. The distinct sites, in fractional coordinates, are Li at (0.0000, 0.5000, 0.0000), Ir at (0.0000, 0.0000, 0.5000), Pd at (0.5000, 0.5000, 0.0000) and Pb at (0.5000, 0.5000, 0.5000).

For the spin magnetization, the calculation gives 0.0 μB per cell. For the formation energy, the calculation gives 0.480 eV/atom. The calculation puts the volume at 19.5 Å³/atom.


Entry from Alexandria: RbNa2GePt after structural relaxation (PBE).

It has space group P4/mmm (No. 123), with a = 5.6587 Å, b = 5.6587 Å, c = 4.7583 Å, α = 90.00°, β = 90.00° and γ = 90.00°. The distinct sites, in fractional coordinates, are Rb at (0.0000, 0.0000, 0.0000), Na at (0.0000, 0.5000, 0.5000), Ge at (0.5000, 0.5000, 0.5000) and Pt at (0.5000, 0.5000, 0.0000).

For the spin magnetization, the calculation gives 0.0 μB per cell. For the formation energy, the calculation gives -0.127 eV/atom. The calculation puts the volume at 30.5 Å³/atom.